Record 1
5
Lattice="4.6341 0.0000 0.0000 0.0000 4.6341 0.0000 0.0000 0.0000 4.6341" Properties=species:S:1:pos:R:3 comment="GGA-PBE MgSi3S, relaxed" e_form_raw_kcal_per_mol_atoms=15.987 space_group=Pm-3m dos_at_fermi_per_ev_fu=1.4 total_energy_ev_per_atom=-3.705 pbc="T T T"
Mg 0.0000 0.0000 0.0000
Si 0.0000 2.3170 2.3170
Si 2.3170 0.0000 2.3170
Si 2.3170 2.3170 0.0000
S 2.3170 2.3170 2.3170


Record 2
5
Lattice="4.8566 0.0000 0.0000 0.0000 4.8566 0.0000 0.0000 0.0000 4.9061" Properties=species:S:1:pos:R:3 comment="GGA-PBE Mg2TiSiS, relaxed" e_form_raw_kcal_per_mol_atoms=3.338 space_group=P4/mmm dos_at_fermi_per_ev_fu=3.2 total_energy_ev_per_atom=-3.982 pbc="T T T"
Mg 0.0000 2.4283 0.0000
Mg 2.4283 0.0000 0.0000
Ti 0.0000 0.0000 2.4530
Si 0.0000 0.0000 0.0000
S 2.4283 2.4283 2.4530


Record 3
8
Lattice="-3.5510 3.5510 4.1595 3.5510 -3.5510 4.1595 3.5510 3.5510 -4.1595" Properties=species:S:1:pos:R:3 comment="GGA-PBE MgTl2SiS4, relaxed" e_form_raw_kcal_per_mol_atoms=-17.320 space_group=I-4 dos_at_fermi_per_ev_fu=0.0 total_energy_ev_per_atom=-4.284 pbc="T T T"
Mg 0.0000 0.0000 0.0000
Tl 0.0000 0.0000 4.1595
Tl 0.0000 3.5510 2.0797
Si 3.5510 0.0000 2.0797
S 1.0089 2.0307 -0.9540
S 5.0713 1.0089 0.9540
S 2.5421 1.5203 3.2054
S -1.5203 2.5421 5.1135


Record 4
28
Lattice="12.8578 0.0000 0.0000 0.0000 3.9313 0.0000 0.0000 0.0000 13.7931" Properties=species:S:1:pos:R:3 comment="GGA-PBE Sm2MgS4, relaxed" e_form_raw_kcal_per_mol_atoms=-41.417 space_group=Pnma dos_at_fermi_per_ev_fu=0.0 total_energy_ev_per_atom=-5.731 pbc="T T T"
Sm 1.5578 0.9828 1.0255
Sm 1.7048 0.9828 9.7473
Sm 4.7241 2.9485 2.8507
Sm 4.8711 2.9485 7.9221
Sm 7.9867 0.9828 5.8711
Sm 8.1337 0.9828 10.9424
Sm 11.1530 2.9485 4.0459
Sm 11.3000 2.9485 12.7676
Mg 1.3873 2.9485 6.3505
Mg 5.0416 0.9828 13.2470
Mg 7.8162 2.9485 0.5461
Mg 11.4705 0.9828 7.4427
S 0.0303 2.9485 8.4760
S 0.3189 0.9828 12.2069
S 2.9602 0.9828 3.3863
S 2.9887 0.9828 7.1140
S 3.4402 2.9485 0.2174
S 3.4687 2.9485 10.2829
S 6.1100 2.9485 5.3103
S 6.3986 0.9828 1.5794
S 6.4592 2.9485 12.2137
S 6.7478 0.9828 8.4828
S 9.3891 0.9828 3.5102
S 9.4176 0.9828 13.5757
S 9.8692 2.9485 6.6791
S 9.8976 2.9485 10.4068
S 12.5389 2.9485 1.5863
S 12.8275 0.9828 5.3172


Record 5
28
Lattice="7.3675 0.0000 0.0000 -0.4359 8.6787 0.0000 -1.4685 -2.7599 11.9621" Properties=species:S:1:pos:R:3 comment="GGA-PBE Sm2MgS4, relaxed" e_form_raw_kcal_per_mol_atoms=-39.394 space_group=P-1 dos_at_fermi_per_ev_fu=0.0 total_energy_ev_per_atom=-5.643 pbc="T T T"
Sm 0.2200 2.3601 3.2956
Sm 0.1530 7.2721 4.3584
Sm 0.3819 -1.7352 11.7298
Sm 1.6695 0.9720 7.8010
Sm 3.7936 4.9468 4.1611
Sm 5.0811 7.6540 0.2323
Sm 5.3101 -1.3533 7.6037
Sm 5.2431 3.5587 8.6665
Mg 0.3217 2.2984 11.7701
Mg 1.3585 5.0957 8.2259
Mg 4.1046 0.8231 3.7362
Mg 5.1414 3.6204 0.1920
S 0.3015 3.1045 0.7644
S 0.3671 -0.2277 1.9052
S 0.1836 3.1440 7.4349
S 0.6415 -1.5405 7.2583
S 1.1410 4.8353 4.0605
S 1.9455 0.8880 4.9177
S 1.2780 4.6814 10.6433
S 1.6479 0.5163 10.5168
S 3.8152 5.4025 1.4453
S 4.1851 1.2374 1.3188
S 3.5176 5.0308 7.0444
S 4.3221 1.0835 7.9016
S 4.8216 7.4593 4.7038
S 5.2794 2.7748 4.5272
S 5.0960 6.1465 10.0569
S 5.1616 2.8143 11.1977


Record 6
14
Lattice="-4.2068 4.2068 4.2760 4.2068 -4.2068 4.2760 4.2068 4.2068 -4.2760" Properties=species:S:1:pos:R:3 comment="GGA-PBE Sm5MgS8, relaxed" e_form_raw_kcal_per_mol_atoms=-44.111 space_group=I-4 dos_at_fermi_per_ev_fu=4.2 total_energy_ev_per_atom=-6.071 pbc="T T T"
Sm 0.0000 0.0000 0.0000
Sm 5.3335 2.0650 -0.9812
Sm 2.0650 3.0801 0.9812
Sm -1.1267 2.1419 3.2947
Sm 2.1419 1.1267 5.2572
Mg 4.2068 0.0000 2.1380
S 2.6920 0.6618 -0.5620
S 2.5813 3.6995 -1.7516
S 1.6256 0.5073 2.5244
S 3.5450 -1.5149 4.8380
S 4.7142 2.5813 1.7516
S 0.6618 5.7217 0.5620
S 1.5149 3.5450 3.7139
S -0.5073 1.6256 6.0275


Record 7
28
Lattice="8.1213 0.0000 0.0000 0.0000 7.2216 0.0000 0.0000 0.0000 11.6856" Properties=species:S:1:pos:R:3 comment="GGA-PBE Sm2MgS4, relaxed" e_form_raw_kcal_per_mol_atoms=-38.617 space_group=Pnma dos_at_fermi_per_ev_fu=0.0 total_energy_ev_per_atom=-5.609 pbc="T T T"
Sm 0.2966 1.8054 2.1899
Sm 0.6696 5.4162 5.4957
Sm 3.3910 1.8054 11.3385
Sm 3.7641 5.4162 8.0327
Sm 4.3572 1.8054 3.6529
Sm 4.7303 5.4162 0.3472
Sm 7.4517 1.8054 6.1900
Sm 7.8248 5.4162 9.4957
Mg 1.5317 5.4162 1.0013
Mg 2.5290 1.8054 6.8441
Mg 5.5923 5.4162 4.8415
Mg 6.5896 1.8054 10.6843
S 0.7591 1.8054 11.0896
S 1.1208 3.6357 7.6481
S 1.1208 7.1966 7.6481
S 1.7261 1.8054 4.5585
S 2.3346 5.4162 10.4014
S 2.9399 0.0249 1.8053
S 2.9399 3.5859 1.8053
S 3.3015 5.4162 5.2468
S 4.8198 1.8054 6.4389
S 5.1815 3.6357 9.8803
S 5.1815 7.1966 9.8803
S 5.7868 1.8054 1.2843
S 6.3952 5.4162 7.1271
S 7.0005 0.0249 4.0375
S 7.0005 3.5859 4.0375
S 7.3622 5.4162 0.5960


Record 8
12
Lattice="6.4213 -1.9498 0.0000 6.4213 1.9498 0.0000 -3.1233 0.0000 11.2564" Properties=species:S:1:pos:R:3 comment="GGA-PBE Sm4MgS7, relaxed" e_form_raw_kcal_per_mol_atoms=-44.503 space_group=Cm total_energy_ev_per_atom=-6.043 pbc="T T T"
Sm 0.0000 0.0000 0.0000
Sm 0.0476 0.0000 8.5896
Sm 6.2611 0.0000 3.9821
Sm 9.5695 0.0000 6.2859
Mg 9.4558 0.0000 1.6196
S 1.3585 0.0000 2.4000
S 1.2105 0.0000 5.7761
S 4.7227 0.0000 0.8998
S 5.0331 0.0000 6.9492
S 5.2128 0.0000 10.4453
S 8.4188 0.0000 8.7974
S 10.7282 0.0000 3.8238


Record 9
14
Lattice="-4.1422 4.1422 4.3530 4.1422 -4.1422 4.3530 4.1422 4.1422 -4.3530" Properties=species:S:1:pos:R:3 comment="GGA-PBE Sm2MgS4, relaxed" e_form_raw_kcal_per_mol_atoms=-41.765 space_group=I-42d dos_at_fermi_per_ev_fu=0.0 total_energy_ev_per_atom=-5.746 pbc="T T T"
Sm 6.2133 1.0916 -1.0883
Sm 1.0916 2.0711 1.0883
Sm -2.0711 3.0506 3.2648
Sm 3.0506 2.0711 5.4413
Mg 4.1422 0.0000 2.1765
Mg 0.0000 0.0000 4.3530
S 4.7064 -2.5043 2.6956
S 1.6379 -0.5642 1.6575
S 3.5781 1.6379 -0.5190
S 6.6465 0.5642 1.6575
S 2.5043 -0.5642 4.8721
S 3.5781 2.5043 2.6956
S 1.6379 4.7064 0.5190
S 0.5642 2.5043 3.8340


Record 10
10
Lattice="-4.4214 4.4214 2.8133 4.4214 -4.4214 2.8133 4.4214 4.4214 -2.8133" Properties=species:S:1:pos:R:3 comment="GGA-PBE Sm4MgS5, relaxed" e_form_raw_kcal_per_mol_atoms=-42.708 space_group=I4 dos_at_fermi_per_ev_fu=3.4 total_energy_ev_per_atom=-5.963 pbc="T T T"
Sm 2.6896 0.8506 0.0000
Sm 3.5707 -1.7318 2.8133
Sm 0.8506 6.1531 0.0000
Sm 1.7318 3.5707 2.8133
Mg 0.0000 0.0000 2.8205
S 0.0000 0.0000 5.6250
S 5.2673 1.9453 -0.0003
S 1.9453 3.5754 -0.0003
S 2.4760 0.8459 2.8130
S -0.8459 2.4760 2.8130


Record 11
14
Lattice="0.0000 5.6874 5.6874 5.6874 0.0000 5.6874 5.6874 5.6874 0.0000" Properties=species:S:1:pos:R:3 comment="GGA-PBE Sm2MgS4, relaxed" e_form_raw_kcal_per_mol_atoms=-42.402 space_group=Fd-3m dos_at_fermi_per_ev_fu=0.0 total_energy_ev_per_atom=-5.773 pbc="T T T"
Sm 0.0000 0.0000 0.0000
Sm 2.8437 2.8437 0.0000
Sm 2.8437 0.0000 2.8437
Sm 0.0000 2.8437 2.8437
Mg 4.2655 4.2655 4.2655
Mg 7.1092 7.1092 7.1092
S 8.5688 5.6496 5.6496
S 2.8059 2.8059 2.8059
S 5.7251 5.7251 2.8059
S 5.7251 2.8059 5.7251
S 5.6496 8.5688 5.6496
S 5.6496 5.6496 8.5688
S 8.5688 8.5688 8.5688
S 2.8059 5.7251 5.7251


Record 12
28
Lattice="13.7607 0.0000 0.0000 0.0000 8.1064 0.0000 0.0000 0.0000 6.6207" Properties=species:S:1:pos:R:3 comment="GGA-PBE Sm2MgS4, relaxed" e_form_raw_kcal_per_mol_atoms=-42.676 space_group=Pnma dos_at_fermi_per_ev_fu=0.0 total_energy_ev_per_atom=-5.785 pbc="T T T"
Sm 0.0000 0.0000 0.0000
Sm 0.0000 4.0532 0.0000
Sm 3.1591 2.0266 3.2393
Sm 3.7213 6.0798 6.5496
Sm 6.8804 0.0000 3.3104
Sm 6.8804 4.0532 3.3104
Sm 10.0395 2.0266 0.0711
Sm 10.6016 6.0798 3.3815
Mg 1.3345 6.0798 2.7719
Mg 5.5459 2.0266 6.0822
Mg 8.2148 6.0798 0.5385
Mg 12.4263 2.0266 3.8489
S 0.9176 2.0266 4.9101
S 1.2463 6.0798 5.1792
S 2.3482 4.1727 1.5774
S 2.3482 7.9870 1.5774
S 4.5321 0.1195 4.8878
S 4.5321 3.9337 4.8878
S 5.6340 2.0266 1.8688
S 5.9628 6.0798 1.5997
S 7.7980 2.0266 5.0210
S 8.1267 6.0798 4.7519
S 9.2286 4.1727 1.7330
S 9.2286 7.9870 1.7330
S 11.4125 0.1195 5.0433
S 11.4125 3.9337 5.0433
S 12.5144 2.0266 1.4415
S 12.8431 6.0798 1.7106


Record 13
28
Lattice="6.6558 0.0000 0.0000 0.0000 7.2622 0.0000 0.0000 0.0000 13.7889" Properties=species:S:1:pos:R:3 comment="GGA-PBE Sm2MgS4, relaxed" e_form_raw_kcal_per_mol_atoms=-42.316 space_group=Pbca dos_at_fermi_per_ev_fu=0.0 total_energy_ev_per_atom=-5.770 pbc="T T T"
Sm 0.0277 0.7523 1.9654
Sm 0.0277 2.8788 8.8599
Sm 3.3002 4.3834 1.9654
Sm 3.3002 6.5099 8.8599
Sm 3.3556 0.7523 4.9291
Sm 3.3556 2.8788 11.8235
Sm 6.6281 4.3834 4.9291
Sm 6.6281 6.5099 11.8235
Mg 0.0000 0.0000 6.8945
Mg 0.0000 3.6311 0.0000
Mg 3.3279 0.0000 0.0000
Mg 3.3279 3.6311 6.8945
S 0.8379 3.9057 11.2992
S 0.8379 6.9876 4.4047
S 1.2269 4.9882 7.4808
S 1.2269 5.9050 0.5863
S 2.1010 1.3571 7.4808
S 2.1010 2.2740 0.5863
S 2.4900 0.2746 11.2992
S 2.4900 3.3565 4.4047
S 4.1657 3.9057 9.3842
S 4.1657 6.9876 2.4898
S 4.5548 4.9882 13.2026
S 4.5548 5.9050 6.3081
S 5.4289 1.3571 13.2026
S 5.4289 2.2740 6.3081
S 5.8179 0.2746 9.3842
S 5.8179 3.3565 2.4898


Record 14
14
Lattice="3.9551 2.2835 6.4999 -3.9551 2.2835 6.4999 0.0000 -4.5669 6.4999" Properties=species:S:1:pos:R:3 comment="GGA-PBE SmTm4MgS8, relaxed" e_form_raw_kcal_per_mol_atoms=-43.986 space_group=R3m dos_at_fermi_per_ev_fu=3.4 total_energy_ev_per_atom=-5.995 pbc="T T T"
Sm 0.0000 0.0000 0.0000
Tm 0.0000 -2.2340 3.1880
Tm -1.9347 1.1170 3.1880
Tm 1.9347 1.1170 3.1880
Tm 0.0000 0.0000 12.1548
Mg 0.0000 0.0000 7.2768
S -2.0707 -1.1955 11.2184
S 0.0000 0.0000 4.7421
S 0.0000 -2.3338 8.1641
S -2.0211 1.1669 8.1641
S 2.0706 -1.1955 11.2184
S 0.0000 2.3910 11.2184
S 0.0000 0.0000 14.7503
S 2.0211 1.1669 8.1641


Record 15
15
Lattice="3.8816 2.2410 6.4582 -3.8816 2.2410 6.4582 0.0000 -4.4821 6.4582" Properties=species:S:1:pos:R:3 comment="GGA-PBE Sm3Tm3MgS8, relaxed" e_form_raw_kcal_per_mol_atoms=-45.302 space_group=R-3m dos_at_fermi_per_ev_fu=2.6 total_energy_ev_per_atom=-6.110 pbc="T T T"
Sm -1.9408 -1.1205 6.4582
Sm -1.9408 1.1205 12.9164
Sm 0.0000 2.2410 6.4582
Tm -3.8816 0.0000 9.6873
Tm -1.9408 1.1205 3.2291
Tm 1.9408 1.1205 3.2291
Mg 0.0000 0.0000 9.6873
S 0.0000 0.0000 4.7475
S -1.9046 -1.0996 11.1791
S 0.0000 -2.1992 8.1955
S -1.9046 1.0996 8.1955
S 1.9046 -1.0996 11.1790
S 0.0000 2.1992 11.1790
S 1.9046 1.0996 8.1956
S 0.0000 0.0000 14.6271


Record 16
14
Lattice="-3.7900 3.8865 5.3554 3.7900 -3.8865 5.3554 3.7900 3.8865 -5.3554" Properties=species:S:1:pos:R:3 comment="GGA-PBE SmMgVS4, relaxed" e_form_raw_kcal_per_mol_atoms=-31.100 space_group=Imma dos_at_fermi_per_ev_fu=5.0 total_energy_ev_per_atom=-5.912 pbc="T T T"
Sm 0.0000 0.0000 0.0000
Sm 0.0000 3.8865 0.0000
Mg 3.7900 1.9432 1.3656
Mg 0.0000 1.9432 3.9897
V 1.8950 1.9432 -2.6777
V 1.8950 -1.9432 2.6777
S 3.7900 -0.2813 2.5942
S 3.7900 3.6052 -2.5942
S 1.9231 1.9432 -0.2080
S 5.6570 1.9432 -0.2080
S -1.8670 1.9432 5.5634
S 1.8670 1.9432 5.5634
S 0.0000 0.2813 7.9496
S 0.0000 4.1678 2.7612


Record 17
14
Lattice="3.6821 2.1258 6.1918 -3.6821 2.1258 6.1918 0.0000 -4.2517 6.1918" Properties=species:S:1:pos:R:3 comment="GGA-PBE SmMg2V3S8, relaxed" e_form_raw_kcal_per_mol_atoms=-26.691 space_group=R-3m dos_at_fermi_per_ev_fu=14.3 total_energy_ev_per_atom=-6.035 pbc="T T T"
Sm 0.0000 0.0000 0.0000
Mg 0.0000 0.0000 6.9303
Mg 0.0000 0.0000 11.6450
V -3.6821 0.0000 9.2876
V -1.8410 1.0629 3.0959
V 1.8410 1.0629 3.0959
S -1.9060 -1.1004 10.5707
S 0.0000 0.0000 4.4271
S 0.0000 -2.2009 8.0046
S -1.9060 1.1004 8.0046
S 1.9060 -1.1004 10.5707
S 0.0000 2.2009 10.5707
S 0.0000 0.0000 14.1482
S 1.9060 1.1004 8.0046